Record 1
DFT (PBE) results for a geometry-optimized Zr2BeCuIr structure.

```
data_Zr2BeCuIr
_cell_length_a 4.7136
_cell_length_b 4.7136
_cell_length_c 4.0043
_cell_angle_alpha 90.00
_cell_angle_beta 90.00
_cell_angle_gamma 90.00
_space_group_name_H-M_alt 'P 4/m m m'
_space_group_IT_number 123
_space_group_name_Hall '-P 4 2'
loop_
_atom_site_label
_atom_site_type_symbol
_atom_site_fract_x
_atom_site_fract_y
_atom_site_fract_z
_atom_site_occupancy
Zr1 Zr 0.0000 0.5000 0.0000 1
Be1 Be 0.0000 0.0000 0.0000 1
Cu1 Cu 0.5000 0.5000 0.5000 1
Ir1 Ir 0.0000 0.0000 0.5000 1
```

Calculated values
M_tot = 0.000 μB/atom
Calculated total energy = -6.6460 eV per atom
Calculated volume = 89 Å³/f.u.

***

Record 2
DFT (PBE) results for a geometry-optimized LiMgSc2N structure.

```
data_LiMgSc2N
_cell_length_a 4.4121
_cell_length_b 4.4121
_cell_length_c 4.5420
_cell_angle_alpha 90.00
_cell_angle_beta 90.00
_cell_angle_gamma 90.00
_space_group_name_H-M_alt 'P 4/m m m'
_space_group_IT_number 123
_space_group_name_Hall '-P 4 2'
loop_
_atom_site_label
_atom_site_type_symbol
_atom_site_fract_x
_atom_site_fract_y
_atom_site_fract_z
_atom_site_occupancy
Li1 Li 0.0000 0.0000 0.0000 1
Mg1 Mg 0.5000 0.5000 0.0000 1
Sc1 Sc 0.0000 0.5000 0.5000 1
N1 N 0.5000 0.5000 0.5000 1
```

Calculated values
M_tot = 0.000 μB/atom
ΔE to the lowest computed polymorph = 62 meV/atom
Formation energy without anion corrections = -538 meV/atom
Calculated total energy = -5.4373 eV per atom
Calculated volume = 88 Å³/f.u.

***

calculated total energy of number 1 (Zr2BeCuIr)?
-6.6460 eV per atom

***

Number 2 is which compound?
LiMgSc2N